Entry 1:
4
Lattice="-1.869 2.623 5.631 1.869 -2.623 5.631 1.869 2.623 -5.631" Properties=species:S:1:pos:R:3 comment="Y3Hg (PBEsol, optimized geometry)" n_ef_per_ev_fu=3.8 ef_ev_per_atom=-0.30 crystal_system=orthorhombic pbc="T T T"
Y 0.000 0.000 0.000
Y 1.869 0.000 3.168
Y 0.000 2.623 2.463
Hg 0.000 0.000 5.631

***

Entry 2:
4
Lattice="3.092 -4.433 0.000 3.092 4.433 0.000 0.000 0.000 3.373" Properties=species:S:1:pos:R:3 comment="Mg2ScTl (PBEsol, optimized geometry)" n_ef_per_ev_fu=2.8 ef_ev_per_atom=-0.09 relative_energy_kj_per_mol_fu=56.0 crystal_system=orthorhombic pbc="T T T"
Mg 1.546 2.216 0.000
Mg 1.546 -2.216 0.000
Sc 0.000 0.000 1.686
Tl 3.092 0.000 1.686

***

Entry 3:
4
Lattice="0.000 3.196 3.196 3.196 0.000 3.196 3.196 3.196 0.000" Properties=species:S:1:pos:R:3 comment="Na2IrPt (PBEsol, optimized geometry)" n_ef_per_ev_fu=5.4 ef_ev_per_atom=0.85 crystal_system=cubic pbc="T T T"
Na 1.598 1.598 1.598
Na 4.794 4.794 4.794
Ir 0.000 0.000 0.000
Pt 3.196 3.196 3.196

***

Entry 4:
5
Lattice="6.417 0.000 0.000 0.000 6.417 0.000 0.000 0.000 5.389" Properties=species:S:1:pos:R:3 comment="K2RbMgAu (PBEsol, optimized geometry)" n_ef_per_ev_fu=2.2 ef_ev_per_atom=-0.04 crystal_system=tetragonal pbc="T T T"
K 0.000 3.208 0.000
K 3.208 0.000 0.000
Rb 0.000 0.000 2.695
Mg 3.208 3.208 2.695
Au 3.208 3.208 0.000

***

Entry 5:
6
Lattice="4.635 0.000 0.000 -2.317 4.014 0.000 0.000 0.000 5.310" Properties=species:S:1:pos:R:3 comment="Re2Sb (PBEsol, optimized geometry)" n_ef_per_ev_fu=4.2 relative_energy_kj_per_mol_fu=167.3 raw_formation_energy_ev_per_atom=0.916 crystal_system=hexagonal pbc="T T T"
Re 0.000 0.000 0.000
Re 0.000 0.000 2.655
Re 0.000 2.676 1.327
Re 2.317 1.338 3.982
Sb 0.000 2.676 3.982
Sb 2.317 1.338 1.327

***

Entry 6:
4
Lattice="3.781 0.000 0.000 0.000 3.781 0.000 0.000 0.000 4.179" Properties=species:S:1:pos:R:3 comment="Li2AlAu (PBEsol, optimized geometry)" n_ef_per_ev_fu=1.3 ef_ev_per_atom=-0.42 crystal_system=tetragonal pbc="T T T"
Li 0.000 1.891 0.000
Li 1.891 0.000 0.000
Al 0.000 0.000 2.089
Au 1.891 1.891 2.089

***

Entry 7:
4
Lattice="5.181 -1.437 0.000 5.181 1.437 0.000 -1.758 0.000 4.543" Properties=species:S:1:pos:R:3 comment="In2ReRh (PBEsol, optimized geometry)" n_ef_per_ev_fu=1.1 ef_ev_per_atom=0.13 relative_energy_kj_per_mol_fu=0.0 crystal_system=monoclinic pbc="T T T"
In 0.000 0.000 0.000
In 1.157 0.000 2.724
Re 3.906 0.000 2.191
Rh 7.603 0.000 0.503

***

Entry 8:
5
Lattice="4.937 0.000 0.000 0.000 4.937 0.000 0.000 0.000 4.946" Properties=species:S:1:pos:R:3 comment="NbIrSe2Br (PBEsol, optimized geometry)" n_ef_per_ev_fu=8.8 raw_formation_energy_ev_per_atom=0.974 crystal_system=tetragonal pbc="T T T"
Nb 0.000 0.000 0.000
Ir 2.468 2.468 2.473
Se 0.000 2.468 0.000
Se 2.468 0.000 0.000
Br 0.000 0.000 2.473